(1)
Here is a relaxed Y2ZrSb crystal from the Alexandria database. Energies are from PBE-GGA.

The structure belongs to space group I4/mmm (No. 139); the cell edges are 4.550, 4.550 and 10.032 Å and the angles 90.00°, 90.00° and 90.00°. The asymmetric unit holds Y at (0.000, 0.500, 0.250), Zr at (0.000, 0.000, 0.000) and Sb at (0.000, 0.000, 0.500).

As for the formation energy (no corrections): -344 meV per atom. As for the density of states at the Fermi level: 5.0 states/eV/f.u. The total magnetization is 0.0 μB/cell. Its volume is 26.0 Å³/atom. The crystal system is tetragonal. For the total energy, the calculation gives -53.95 eV per cell.

---

(2)
Here is a relaxed YZrSb2 crystal from the Alexandria database. Energies are from PBE-GGA.

The structure belongs to space group Pm (No. 6); the cell edges are 3.900, 4.888 and 5.777 Å and the angles 90.00°, 109.70° and 90.00°. The asymmetric unit holds Y at (0.000, 0.000, 0.000), Zr at (0.753, 0.500, 0.508), Sb at (0.271, 0.000, 0.544) and Sb at (0.479, 0.500, 0.956).

As for the formation energy (no corrections): -697 meV per atom. As for the density of states at the Fermi level: 3.0 states/eV/f.u. The total magnetization is 0.0 μB/cell. Its volume is 25.9 Å³/atom. The crystal system is monoclinic. For the total energy, the calculation gives -26.04 eV per cell.

---

(3)
Here is a relaxed YZr2Sb crystal from the Alexandria database. Energies are from PBE-GGA.

The structure belongs to space group I-42d (No. 122); the cell edges are 8.505, 8.505 and 5.987 Å and the angles 90.00°, 90.00° and 90.00°. The asymmetric unit holds Y at (0.000, 0.000, 0.000), Zr at (0.210, 0.250, 0.625) and Sb at (0.000, 0.000, 0.500).

As for the formation energy (no corrections): 5 meV per atom. As for the density of states at the Fermi level: 2.6 states/eV/f.u. The total magnetization is 0.0 μB/cell. Its volume is 27.1 Å³/atom. The crystal system is tetragonal. For the total energy, the calculation gives -110.65 eV per cell.

---

(4)
Here is a relaxed YZr2Sb2 crystal from the Alexandria database. Energies are from PBE-GGA.

The structure belongs to space group I4/mmm (No. 139); the cell edges are 5.502, 5.502 and 8.934 Å and the angles 90.00°, 90.00° and 90.00°. The asymmetric unit holds Y at (0.000, 0.000, 0.000), Zr at (0.000, 0.000, 0.347) and Sb at (0.000, 0.500, 0.250).

As for the formation energy (no corrections): -311 meV per atom. For the relative energy among the computed polymorphs, the calculation gives 40.13 kJ/mol of atoms. As for the density of states at the Fermi level: 4.5 states/eV/f.u. The total magnetization is 0.0 μB/cell. Its volume is 27.0 Å³/atom. The crystal system is tetragonal. For the total energy, the calculation gives -66.72 eV per cell.

---

(5)
Here is a relaxed YZrSb crystal from the Alexandria database. Energies are from PBE-GGA.

The structure belongs to space group P4/nmm (No. 129, origin choice 2); the cell edges are 4.316, 4.316 and 8.244 Å and the angles 90.00°, 90.00° and 90.00°. The asymmetric unit holds Y at (0.250, 0.250, 0.147), Zr at (0.250, 0.750, 0.500) and Sb at (0.250, 0.250, 0.763).

As for the formation energy (no corrections): -833 meV per atom. As for the density of states at the Fermi level: 2.9 states/eV/f.u. The total magnetization is 0.0 μB/cell. Its volume is 25.6 Å³/atom. The crystal system is tetragonal. For the total energy, the calculation gives -43.27 eV per cell.

---

(6)
Here is a relaxed Yb6Sb crystal from the Alexandria database. Energies are from PBE-GGA.

The structure belongs to space group Im-3m (No. 229); the cell edges are 9.297, 9.297 and 9.297 Å and the angles 90.00°, 90.00° and 90.00°. The asymmetric unit holds Yb at (0.000, 0.250, 0.500) and Sb at (0.000, 0.000, 0.000).

As for the formation energy (no corrections): 1093 meV per atom. As for the density of states at the Fermi level: 86.6 states/eV/f.u. The total magnetization is 2.2 μB/cell. Its volume is 57.4 Å³/atom. The crystal system is cubic. For the total energy, the calculation gives -11.25 eV per cell.